[1]
# NaCa2Sc (GGA-PBE, relaxed)
data_NaCa2Sc
_symmetry_space_group_name_H-M 'F m -3 m'
_symmetry_Int_Tables_number 225
_symmetry_space_group_name_Hall '-F 4 2 3'
_cell_length_a 8.2373
_cell_length_b 8.2373
_cell_length_c 8.2373
_cell_angle_alpha 90.00
_cell_angle_beta 90.00
_cell_angle_gamma 90.00
loop_
_atom_site_label
_atom_site_type_symbol
_atom_site_fract_x
_atom_site_fract_y
_atom_site_fract_z
Na1 Na 0.0000 0.0000 0.0000
Ca1 Ca 0.2500 0.2500 0.2500
Sc1 Sc 0.0000 0.0000 0.5000
# Calculated formation energy, eV per atom: 0.29

[2]
# Na3CaSc (GGA-PBE, relaxed)
data_Na3CaSc
_symmetry_space_group_name_H-M 'P m -3 m'
_symmetry_Int_Tables_number 221
_symmetry_space_group_name_Hall '-P 4 2 3'
_cell_length_a 5.9414
_cell_length_b 5.9414
_cell_length_c 5.9414
_cell_angle_alpha 90.00
_cell_angle_beta 90.00
_cell_angle_gamma 90.00
loop_
_atom_site_label
_atom_site_type_symbol
_atom_site_fract_x
_atom_site_fract_y
_atom_site_fract_z
Na1 Na 0.0000 0.0000 0.5000
Ca1 Ca 0.0000 0.0000 0.0000
Sc1 Sc 0.5000 0.5000 0.5000
# Calculated formation energy, eV per atom: 0.94

[3]
# NaCaSc2 (GGA-PBE, relaxed)
data_NaCaSc2
_symmetry_space_group_name_H-M 'F m -3 m'
_symmetry_Int_Tables_number 225
_symmetry_space_group_name_Hall '-F 4 2 3'
_cell_length_a 7.7870
_cell_length_b 7.7870
_cell_length_c 7.7870
_cell_angle_alpha 90.00
_cell_angle_beta 90.00
_cell_angle_gamma 90.00
loop_
_atom_site_label
_atom_site_type_symbol
_atom_site_fract_x
_atom_site_fract_y
_atom_site_fract_z
Na1 Na 0.0000 0.0000 0.0000
Ca1 Ca 0.0000 0.0000 0.5000
Sc1 Sc 0.2500 0.2500 0.2500
# Calculated formation energy, eV per atom: 0.47

[4]
# NaCa2Sc2 (GGA-PBE, relaxed)
data_NaCa2Sc2
_symmetry_space_group_name_H-M 'I 4/m m m'
_symmetry_Int_Tables_number 139
_symmetry_space_group_name_Hall '-I 4 2'
_cell_length_a 4.0933
_cell_length_b 4.0933
_cell_length_c 21.0731
_cell_angle_alpha 90.00
_cell_angle_beta 90.00
_cell_angle_gamma 90.00
loop_
_atom_site_label
_atom_site_type_symbol
_atom_site_fract_x
_atom_site_fract_y
_atom_site_fract_z
Na1 Na 0.0000 0.0000 0.0000
Ca1 Ca 0.0000 0.0000 0.3886
Sc1 Sc 0.0000 0.5000 0.2500
# Calculated formation energy, eV per atom: 0.32

[5]
# NaCaSc2Se4 (GGA-PBE, relaxed)
data_NaCaSc2Se4
_symmetry_space_group_name_H-M 'P 1 2/m 1'
_symmetry_Int_Tables_number 10
_cell_length_a 6.8542
_cell_length_b 3.9628
_cell_length_c 7.1589
_cell_angle_alpha 90.00
_cell_angle_beta 108.52
_cell_angle_gamma 90.00
loop_
_symmetry_equiv_pos_as_xyz
'x,y,z'
'-x,-y,-z'
'-x,y,-z'
'x,-y,z'
loop_
_atom_site_label
_atom_site_type_symbol
_atom_site_fract_x
_atom_site_fract_y
_atom_site_fract_z
Na1 Na 0.0000 0.0000 0.0000
Ca1 Ca 0.5000 0.5000 0.0000
Sc1 Sc 0.0000 0.5000 0.5000
Sc2 Sc 0.5000 0.0000 0.5000
Se1 Se 0.2431 0.0000 0.7299
Se2 Se 0.2587 0.5000 0.2740
# Energy relative to the elements, uncorrected, eV per atom: -1.6946

[6]
# NaCaSc2Te4 (GGA-PBE, relaxed)
data_NaCaSc2Te4
_symmetry_space_group_name_H-M 'P 1 2/m 1'
_symmetry_Int_Tables_number 10
_cell_length_a 7.3696
_cell_length_b 4.2565
_cell_length_c 7.7191
_cell_angle_alpha 90.00
_cell_angle_beta 108.44
_cell_angle_gamma 90.00
loop_
_symmetry_equiv_pos_as_xyz
'x,y,z'
'-x,-y,-z'
'-x,y,-z'
'x,-y,z'
loop_
_atom_site_label
_atom_site_type_symbol
_atom_site_fract_x
_atom_site_fract_y
_atom_site_fract_z
Na1 Na 0.0000 0.0000 0.0000
Ca1 Ca 0.5000 0.5000 0.0000
Sc1 Sc 0.0000 0.5000 0.5000
Sc2 Sc 0.5000 0.0000 0.5000
Te1 Te 0.2429 0.0000 0.7299
Te2 Te 0.2581 0.5000 0.2730
# Energy relative to the elements, uncorrected, eV per atom: -1.2799

[7]
# NaCaScTl (GGA-PBE, relaxed)
data_NaCaScTl
_symmetry_space_group_name_H-M 'F -4 3 m'
_symmetry_Int_Tables_number 216
_symmetry_space_group_name_Hall 'F -4 2 3'
_cell_length_a 7.5545
_cell_length_b 7.5545
_cell_length_c 7.5545
_cell_angle_alpha 90.00
_cell_angle_beta 90.00
_cell_angle_gamma 90.00
loop_
_atom_site_label
_atom_site_type_symbol
_atom_site_fract_x
_atom_site_fract_y
_atom_site_fract_z
Na1 Na 0.0000 0.0000 0.0000
Ca1 Ca 0.2500 0.2500 0.2500
Sc1 Sc 0.2500 0.2500 0.7500
Tl1 Tl 0.0000 0.0000 0.5000
# Calculated formation energy, eV per atom: -0.06

[8]
# NaCaScV2 (GGA-PBE, relaxed)
data_NaCaScV2
_symmetry_space_group_name_H-M 'P 4/m m m'
_symmetry_Int_Tables_number 123
_symmetry_space_group_name_Hall '-P 4 2'
_cell_length_a 5.1595
_cell_length_b 5.1595
_cell_length_c 5.1874
_cell_angle_alpha 90.00
_cell_angle_beta 90.00
_cell_angle_gamma 90.00
loop_
_atom_site_label
_atom_site_type_symbol
_atom_site_fract_x
_atom_site_fract_y
_atom_site_fract_z
Na1 Na 0.0000 0.0000 0.0000
Ca1 Ca 0.5000 0.5000 0.5000
Sc1 Sc 0.0000 0.0000 0.5000
V1 V 0.0000 0.5000 0.0000
# Calculated formation energy, eV per atom: 1.44